No. 1
Crystalline CoRu2 at its relaxed geometry, computed with PBE.

a b c (Å): 6.9801 6.9801 4.2389
angles (deg): 90.00 90.00 157.85
Atoms (fractional coordinates):
Co (0.2241, 0.7759, 0.7500)
Co (0.7759, 0.2241, 0.2500)
Ru (0.1160, 0.8840, 0.2500)
Ru (0.4420, 0.5580, 0.2500)
Ru (0.5580, 0.4420, 0.7500)
Ru (0.8840, 0.1160, 0.7500)

Values from the calculation:
The value obtained for the density of states at the Fermi level is 1.1064 states/eV per atom. The calculation puts the total energy at -0.62183 Ry per atom. As for the symmetry: Cmcm (63). The calculation puts the total magnetic moment at 1.178 μB/f.u. The value obtained for the energy of formation is 0.092 eV per atom.

=====

No. 2
Crystalline Cu2Pt3O8 at its relaxed geometry, computed with PBE.

a b c (Å): 5.6421 5.6421 5.3765
angles (deg): 98.06 98.06 65.81
Atoms (fractional coordinates):
Cu (0.1915, 0.1915, 0.0627)
Cu (0.8085, 0.8085, 0.9373)
Pt (0.2471, 0.7529, 0.5000)
Pt (0.5000, 0.5000, 0.0000)
Pt (0.7529, 0.2471, 0.5000)
O (0.1113, 0.1113, 0.3813)
O (0.1471, 0.6080, 0.1463)
O (0.3920, 0.8529, 0.8537)
O (0.3941, 0.3941, 0.6385)
O (0.6059, 0.6059, 0.3615)
O (0.6080, 0.1471, 0.1463)
O (0.8529, 0.3920, 0.8537)
O (0.8887, 0.8887, 0.6187)

Values from the calculation:
The value obtained for the density of states at the Fermi level is 0.4974 states/eV per atom. The calculation puts the total energy at -0.40608 Ry per atom. As for the symmetry: C2/m (12). The calculation puts the total magnetic moment at 1.965 μB/f.u.

=====

No. 3
Crystalline KMg3 at its relaxed geometry, computed with PBE.

a b c (Å): 3.4077 3.4077 11.6094
angles (deg): 90.00 90.00 120.00
Atoms (fractional coordinates):
K (0.0000, 0.0000, 0.0000)
Mg (0.0000, 0.0000, 0.5000)
Mg (0.3333, 0.6667, 0.2803)
Mg (0.3333, 0.6667, 0.7197)

Values from the calculation:
The value obtained for the density of states at the Fermi level is 0.6499 states/eV per atom. The calculation puts the total energy at -0.09216 Ry per atom. As for the symmetry: P-6m2 (187). The calculation puts the total magnetic moment at 0.000 μB/f.u. The value obtained for the energy of formation is 0.216 eV per atom.

=====

Copy entry 2 word for word.
Crystalline Cu2Pt3O8 at its relaxed geometry, computed with PBE.

a b c (Å): 5.6421 5.6421 5.3765
angles (deg): 98.06 98.06 65.81
Atoms (fractional coordinates):
Cu (0.1915, 0.1915, 0.0627)
Cu (0.8085, 0.8085, 0.9373)
Pt (0.2471, 0.7529, 0.5000)
Pt (0.5000, 0.5000, 0.0000)
Pt (0.7529, 0.2471, 0.5000)
O (0.1113, 0.1113, 0.3813)
O (0.1471, 0.6080, 0.1463)
O (0.3920, 0.8529, 0.8537)
O (0.3941, 0.3941, 0.6385)
O (0.6059, 0.6059, 0.3615)
O (0.6080, 0.1471, 0.1463)
O (0.8529, 0.3920, 0.8537)
O (0.8887, 0.8887, 0.6187)

Values from the calculation:
The value obtained for the density of states at the Fermi level is 0.4974 states/eV per atom. The calculation puts the total energy at -0.40608 Ry per atom. As for the symmetry: C2/m (12). The calculation puts the total magnetic moment at 1.965 μB/f.u.

=====

- Which value of total magnetic moment does entry 1 give?
  1.178 μB/f.u.